Record 1
Computed, not measured: crystalline Tb5PrHo6 at its relaxed geometry at the PBE-GGA level of DFT.

Computed properties:
The calculation puts the formation energy at 10.6 kJ per mole of atoms. The value obtained for the offset from the most stable computed form is 93 meV/atom.

Structure (POSCAR):
```
Tb5PrHo6
1.0
0.6085 -1.1681 -10.0565
6.1188 -4.4883 6.7293
-5.4129 -1.3983 1.5003
Pr Tb Ho
1 5 6
direct
0.0000 0.0000 0.0000
0.8463 0.1537 0.5000
0.6528 0.3472 0.0000
0.5000 0.5000 0.5000
0.3472 0.6528 0.0000
0.1537 0.8463 0.5000
0.4318 0.0682 0.2500
0.9318 0.5682 0.7500
0.2509 0.2509 0.7509
0.7491 0.7491 0.2491
0.0682 0.4318 0.2500
0.5682 0.9318 0.7500
```



Record 2
Computed, not measured: crystalline TbPr2Ho8 at its relaxed geometry at the PBE-GGA level of DFT.

Computed properties:
The calculation puts the formation energy at 15.3 kJ per mole of atoms. The value obtained for the offset from the most stable computed form is 137 meV/atom.

Structure (POSCAR):
```
TbPr2Ho8
1.0
-3.4912 4.7360 0.4586
-6.0222 2.2866 -6.3434
-8.5711 -3.3110 0.5011
Tb Pr Ho
1 2 8
direct
0.5000 0.0000 0.0000
0.0000 0.3063 0.3873
0.0000 0.6937 0.6127
0.8278 0.0984 0.2305
0.8278 0.3289 0.7695
0.2969 0.4274 0.0000
0.5000 0.7924 0.4152
0.5000 0.2076 0.5848
0.7031 0.5726 0.0000
0.1722 0.6711 0.2305
0.1722 0.9016 0.7695
```



Record 3
Computed, not measured: crystalline Tb3Pr7Ho at its relaxed geometry at the PBE-GGA level of DFT.

Computed properties:
The calculation puts the formation energy at 21.4 kJ per mole of atoms. The value obtained for the offset from the most stable computed form is 39 meV/atom.

Structure (POSCAR):
```
Tb3Pr7Ho
1.0
5.9617 -0.1938 -0.2482
-2.6807 8.1398 1.1036
-2.6807 -0.9027 8.1645
Tb Pr Ho
3 7 1
direct
0.0000 0.7949 0.2051
0.5000 0.0000 0.0000
0.0000 0.2051 0.7949
0.2107 0.2095 0.2095
0.3073 0.0176 0.5975
0.6927 0.4025 0.9824
0.3073 0.5975 0.0176
0.0000 0.5000 0.5000
0.6927 0.9824 0.4025
0.7893 0.7905 0.7905
0.5000 0.5000 0.5000
```